This record from Alexandria via LeMat-Bulk describes a geometry-optimized Rb2VIrF6 structure. The functional is GGA+U.

a b c (Å): 6.133 6.133 6.133
angles (deg): 116.70 116.70 95.81
Positions (direct):
Rb (0.250, 0.750, 0.500)
Rb (0.750, 0.250, 0.500)
V (0.000, 0.000, 0.000)
Ir (0.500, 0.500, 0.000)
F (0.224, 0.224, 0.449)
F (0.224, 0.776, 0.000)
F (0.247, 0.247, 0.000)
F (0.753, 0.753, 0.000)
F (0.776, 0.224, 0.000)
F (0.776, 0.776, 0.551)

**V**: 170.26 Å³/f.u.
**VASP energy**: -4.9771 eV per atom
**Space group**: I4/mmm (139)